1.
This record from Alexandria via LeMat-Bulk describes a geometry-optimized NaY9Si6O26 structure. The functional is PBE.

POSCAR file:
```
NaY9Si6O26
1.0
9.4583 0.0000 0.0000
-4.7292 8.1912 0.0000
0.0000 0.0000 6.8214
Na Y Si O
1 9 6 26
direct
0.0000 0.0000 0.0000
0.0000 0.0000 0.5078
0.3333 0.6667 0.0062
0.3333 0.6667 0.5031
0.4285 0.0988 0.7571
0.4315 0.3311 0.2546
0.6689 0.1004 0.2546
0.6704 0.5715 0.7571
0.8996 0.5685 0.2546
0.9012 0.3296 0.7571
0.0401 0.3047 0.2559
0.0637 0.7037 0.7518
0.2645 0.9599 0.2559
0.2963 0.3600 0.7518
0.6400 0.9363 0.7518
0.6953 0.7355 0.2559
0.0084 0.5831 0.9455
0.0139 0.5791 0.5619
0.0659 0.8570 0.2705
0.1430 0.2090 0.2705
0.1639 0.5032 0.2534
0.1876 0.1642 0.7421
0.1961 0.4624 0.7563
0.2662 0.8039 0.7563
0.3322 0.0845 0.4456
0.3394 0.0863 0.0700
0.3393 0.8361 0.2534
0.4169 0.4253 0.9455
0.4209 0.4349 0.5619
0.4968 0.6607 0.2534
0.5376 0.7338 0.7563
0.5651 0.9861 0.5619
0.5747 0.9916 0.9455
0.6667 0.3333 0.2613
0.6667 0.3333 0.7559
0.7469 0.6606 0.0700
0.7523 0.6678 0.4456
0.7910 0.9341 0.2705
0.8358 0.0234 0.7421
0.9137 0.2531 0.0700
0.9155 0.2477 0.4456
0.9766 0.8124 0.7421
```

Output
space group = P3, No. 143
raw formation energy = -3.24 eV per atom
V = 12.58 A^3/atom
final energy = -8.498 eV/atom


2.
This record from Alexandria via LeMat-Bulk describes a geometry-optimized CaZr2P structure. The functional is PBE.

POSCAR file:
```
CaZr2P
1.0
4.2654 0.0000 0.0000
0.0000 1.9217 5.8835
0.0000 -1.9217 5.8835
Ca Zr P
1 2 1
direct
0.0000 0.0000 0.0000
0.0000 0.7253 0.7253
0.5000 0.2766 0.2766
0.5000 0.5957 0.5957
```

Output
formation energy = -1.5 eV/f.u.
space group = Amm2, No. 38
V = 24.11 A^3/atom
final energy = -6.514 eV/atom


3.
This record from Alexandria via LeMat-Bulk describes a geometry-optimized YAg2Au structure. The functional is PBE.

POSCAR file:
```
YAg2Au
1.0
1.6003 0.9240 9.5136
-1.6003 0.9240 9.5136
0.0000 -1.8479 9.5136
Y Ag Au
1 2 1
direct
0.0000 0.0000 0.0000
0.2445 0.2445 0.2445
0.7555 0.7555 0.7555
0.5000 0.5000 0.5000
```

Output
formation energy = 0.2 eV/f.u.
space group = R-3m, No. 166
V = 21.10 A^3/atom
final energy = -3.821 eV/atom
polymorph energy (0 for the lowest one) = 455 meV/atom


4.
This record from Alexandria via LeMat-Bulk describes a geometry-optimized LiTcAs2 structure. The functional is PBE.

POSCAR file:
```
LiTcAs2
1.0
1.7051 -2.1781 0.0000
1.7051 2.1781 0.0000
0.0000 0.0000 9.6566
Li Tc As
1 1 2
direct
0.0000 0.0000 0.0000
0.5000 0.5000 0.2351
0.0000 0.0000 0.4257
0.5000 0.5000 0.7840
```

Output
formation energy = 0.7 eV/f.u.
space group = Cmm2, No. 35
V = 17.93 A^3/atom
final energy = -5.225 eV/atom
polymorph energy (0 for the lowest one) = 514 meV/atom


5.
This record from Alexandria via LeMat-Bulk describes a geometry-optimized Pr4NdEr2Mg structure. The functional is PBE.

POSCAR file:
```
Pr4NdEr2Mg
1.0
5.8859 0.0000 0.0000
0.0000 5.8859 0.0000
0.0000 0.0000 7.6607
Pr Nd Er Mg
4 1 2 1
direct
0.0000 0.5000 0.2458
0.0000 0.5000 0.7542
0.5000 0.0000 0.2458
0.5000 0.0000 0.7542
0.0000 0.0000 0.0000
0.0000 0.0000 0.5000
0.5000 0.5000 0.5000
0.5000 0.5000 0.0000
```

Output
formation energy = 0.4 eV/f.u.
space group = P4/mmm, No. 123
V = 33.17 A^3/atom
final energy = -4.276 eV/atom


6.
This record from Alexandria via LeMat-Bulk describes a geometry-optimized AcLaGeIr structure. The functional is PBE.

POSCAR file:
```
AcLaGeIr
1.0
4.8611 0.0000 0.0000
0.0000 4.8611 0.0000
0.0000 0.0000 10.3912
Ac La Ge Ir
2 2 2 2
direct
0.2500 0.2500 0.1720
0.7500 0.7500 0.8280
0.2500 0.7500 0.5000
0.7500 0.2500 0.5000
0.2500 0.2500 0.8788
0.7500 0.7500 0.1212
0.2500 0.2500 0.6505
0.7500 0.7500 0.3495
```

Output
formation energy = -2.0 eV/f.u.
space group = P4/nmm, No. 129
V = 30.69 A^3/atom
final energy = -6.117 eV/atom
polymorph energy (0 for the lowest one) = 16 meV/atom


7.
This record from Alexandria via LeMat-Bulk describes a geometry-optimized Mn2Be9Mo structure. The functional is PBE.

POSCAR file:
```
Mn2Be9Mo
1.0
2.1311 1.2304 6.7387
-2.1311 1.2304 6.7387
0.0000 -2.4607 6.7387
Mn Be Mo
2 9 1
direct
0.1443 0.1443 0.1443
0.8557 0.8557 0.8557
0.0798 0.5873 0.5873
0.3338 0.3338 0.3338
0.4127 0.4127 0.9202
0.4127 0.9202 0.4127
0.5000 0.5000 0.5000
0.5873 0.0798 0.5873
0.5873 0.5873 0.0798
0.6662 0.6662 0.6662
0.9202 0.4127 0.4127
0.0000 0.0000 0.0000
```

Output
formation energy = -2.4 eV/f.u.
space group = R-3m, No. 166
V = 8.83 A^3/atom
final energy = -5.427 eV/atom


8.
This record from Alexandria via LeMat-Bulk describes a geometry-optimized KCdTc4 structure. The functional is PBE.

POSCAR file:
```
KCdTc4
1.0
0.0000 3.7923 3.7923
3.7923 0.0000 3.7923
3.7923 3.7923 0.0000
K Cd Tc
1 1 4
direct
0.0000 0.0000 0.0000
0.2500 0.2500 0.2500
0.1251 0.6250 0.6250
0.6250 0.1251 0.6250
0.6250 0.6250 0.1251
0.6250 0.6250 0.6250
```

Output
formation energy = 5.4 eV/f.u.
space group = F-43m, No. 216
V = 18.18 A^3/atom
final energy = -6.342 eV/atom


9.
This record from Alexandria via LeMat-Bulk describes a geometry-optimized NdPd2 structure. The functional is PBE.

POSCAR file:
```
NdPd2
1.0
4.7402 -2.2439 0.0000
4.7402 2.2439 0.0000
-1.4387 0.0000 5.7583
Nd Pd
2 4
direct
0.1416 0.1416 0.2949
0.8584 0.8584 0.7051
0.1778 0.1778 0.8202
0.5000 0.5000 0.0000
0.5000 0.5000 0.5000
0.8222 0.8222 0.1798
```

Output
formation energy = -2.2 eV/f.u.
space group = C2/m, No. 12
V = 20.42 A^3/atom
final energy = -5.770 eV/atom


10.
This record from Alexandria via LeMat-Bulk describes a geometry-optimized CaZnIr structure. The functional is PBE.

POSCAR file:
```
CaZnIr
1.0
3.1710 0.0000 0.0000
-1.5855 2.7462 0.0000
0.0000 0.0000 6.6263
Ca Zn Ir
1 1 1
direct
0.0000 0.0000 0.0000
0.6667 0.3333 0.6153
0.3333 0.6667 0.3313
```

Output
formation energy = 0.4 eV/f.u.
space group = P3m1, No. 156
V = 19.23 A^3/atom
final energy = -3.925 eV/atom


Question: Among the records above, which one has the lowest final energy?
Answer: NaY9Si6O26


Please write out number 8 again, unchanged.
This record from Alexandria via LeMat-Bulk describes a geometry-optimized KCdTc4 structure. The functional is PBE.

POSCAR file:
```
KCdTc4
1.0
0.0000 3.7923 3.7923
3.7923 0.0000 3.7923
3.7923 3.7923 0.0000
K Cd Tc
1 1 4
direct
0.0000 0.0000 0.0000
0.2500 0.2500 0.2500
0.1251 0.6250 0.6250
0.6250 0.1251 0.6250
0.6250 0.6250 0.1251
0.6250 0.6250 0.6250
```

Output
formation energy = 5.4 eV/f.u.
space group = F-43m, No. 216
V = 18.18 A^3/atom
final energy = -6.342 eV/atom